[1]
A relaxed Tb3PrEr4 crystal, computed with PBE.

Lattice parameters (Å, degrees): 11.2931 7.2644 6.2701 90.00 90.00 90.00
Closest atoms and distances in Å follow each position.
Fractional coordinates of all 16 atoms:
Tb: 0.0000 0.1275 0.0000  6 Er 3.50-3.67, 4 Tb 3.52-3.53, 2 Pr 3.63-3.64
Tb: 0.2500 0.1277 0.3349  6 Er 3.51-3.67, 2 Pr 3.52-3.53, 4 Tb 3.52-3.64
Tb: 0.2500 0.8723 0.8349  6 Er 3.51-3.67, 2 Pr 3.52-3.53, 4 Tb 3.52-3.64
Tb: 0.5000 0.8725 0.5000  6 Er 3.50-3.67, 4 Tb 3.52-3.53, 2 Pr 3.63-3.64
Tb: 0.7500 0.1277 0.3349  6 Er 3.51-3.67, 2 Pr 3.52-3.53, 4 Tb 3.52-3.64
Tb: 0.7500 0.8723 0.8349  6 Er 3.51-3.67, 2 Pr 3.52-3.53, 4 Tb 3.52-3.64
Pr: 0.0000 0.8736 0.5006  6 Tb 3.52-3.64, 6 Er 3.53-3.66
Pr: 0.5000 0.1264 0.0006  6 Tb 3.52-3.64, 6 Er 3.53-3.66
Er: 0.0000 0.3775 0.5015  6 Er 3.50-3.61, 4 Tb 3.51-3.63, 2 Pr 3.60-3.66
Er: 0.0000 0.6221 0.0018  6 Er 3.48-3.61, 4 Tb 3.52-3.67, 2 Pr 3.62-3.63
Er: 0.2483 0.3775 0.8345  6 Er 3.48-3.61, 5 Tb 3.50-3.67, 1 Pr 3.53
Er: 0.2517 0.6225 0.3345  6 Er 3.48-3.61, 5 Tb 3.50-3.67, 1 Pr 3.53
Er: 0.5000 0.3779 0.5018  6 Er 3.48-3.61, 4 Tb 3.52-3.67, 2 Pr 3.62-3.63
Er: 0.5000 0.6225 0.0015  6 Er 3.50-3.61, 4 Tb 3.51-3.63, 2 Pr 3.60-3.66
Er: 0.7483 0.6225 0.3345  6 Er 3.48-3.61, 5 Tb 3.50-3.67, 1 Pr 3.53
Er: 0.7517 0.3775 0.8345  6 Er 3.48-3.61, 5 Tb 3.50-3.67, 1 Pr 3.53

Computed properties:
ΔH_f (0 K): 0.1 eV per formula unit
Symmetry: Pmn2_1, No. 31
Calculated total energy: -4.60 eV per atom
Energy above the most stable polymorph in this dataset: 0 meV per atom


[2]
A relaxed Tb2PrEr7 crystal, computed with PBE.

Lattice parameters (Å, degrees): 6.1242 7.0709 7.9032 77.08 75.09 73.18
Closest atoms and distances in Å follow each position.
Fractional coordinates of all 10 atoms:
Tb: 0.2000 0.3008 0.0995  10 Er 3.52-3.54, 1 Tb 3.52, 1 Pr 3.54
Tb: 0.8000 0.6992 0.9005  10 Er 3.52-3.54, 1 Tb 3.52, 1 Pr 3.54
Pr: 0.0000 0.0000 0.5000  10 Er 3.54-3.55, 2 Tb 3.54
Er: 0.0000 0.5000 0.5000  8 Er 3.53-3.54, 2 Pr 3.54, 2 Tb 3.54
Er: 0.2007 0.7994 0.0993  7 Er 3.52-3.54, 4 Tb 3.53-3.54, 1 Pr 3.54
Er: 0.3998 0.1003 0.7007  8 Er 3.53-3.55, 2 Tb 3.53-3.54, 2 Pr 3.54
Er: 0.4012 0.5987 0.7010  8 Er 3.52-3.55, 3 Tb 3.52-3.54, 1 Pr 3.55
Er: 0.5988 0.4013 0.2990  8 Er 3.52-3.55, 3 Tb 3.52-3.54, 1 Pr 3.55
Er: 0.6002 0.8997 0.2993  8 Er 3.53-3.55, 2 Tb 3.53-3.54, 2 Pr 3.54
Er: 0.7993 0.2006 0.9007  7 Er 3.52-3.54, 4 Tb 3.53-3.54, 1 Pr 3.54

Computed properties:
ΔH_f (0 K): 0.2 eV per formula unit
Symmetry: P-1, No. 2
Calculated total energy: -4.58 eV per atom
Energy above the most stable polymorph in this dataset: 0 meV per atom


Repeat the second record exactly.
A relaxed Tb2PrEr7 crystal, computed with PBE.

Lattice parameters (Å, degrees): 6.1242 7.0709 7.9032 77.08 75.09 73.18
Closest atoms and distances in Å follow each position.
Fractional coordinates of all 10 atoms:
Tb: 0.2000 0.3008 0.0995  10 Er 3.52-3.54, 1 Tb 3.52, 1 Pr 3.54
Tb: 0.8000 0.6992 0.9005  10 Er 3.52-3.54, 1 Tb 3.52, 1 Pr 3.54
Pr: 0.0000 0.0000 0.5000  10 Er 3.54-3.55, 2 Tb 3.54
Er: 0.0000 0.5000 0.5000  8 Er 3.53-3.54, 2 Pr 3.54, 2 Tb 3.54
Er: 0.2007 0.7994 0.0993  7 Er 3.52-3.54, 4 Tb 3.53-3.54, 1 Pr 3.54
Er: 0.3998 0.1003 0.7007  8 Er 3.53-3.55, 2 Tb 3.53-3.54, 2 Pr 3.54
Er: 0.4012 0.5987 0.7010  8 Er 3.52-3.55, 3 Tb 3.52-3.54, 1 Pr 3.55
Er: 0.5988 0.4013 0.2990  8 Er 3.52-3.55, 3 Tb 3.52-3.54, 1 Pr 3.55
Er: 0.6002 0.8997 0.2993  8 Er 3.53-3.55, 2 Tb 3.53-3.54, 2 Pr 3.54
Er: 0.7993 0.2006 0.9007  7 Er 3.52-3.54, 4 Tb 3.53-3.54, 1 Pr 3.54

Computed properties:
ΔH_f (0 K): 0.2 eV per formula unit
Symmetry: P-1, No. 2
Calculated total energy: -4.58 eV per atom
Energy above the most stable polymorph in this dataset: 0 meV per atom